## LiHfSi2Se (PBE-GGA)

Data for an optimized crystal structure of LiHfSi2Se.

```
data_LiHfSi2Se
_chemical_formula_sum 'Li1 Hf1 Si2 Se1'
_symmetry_space_group_name_H-M 'P 4/m m m'
_symmetry_Int_Tables_number 123
_symmetry_space_group_name_Hall '-P 4 2'
_cell_length_a 4.402
_cell_length_b 4.402
_cell_length_c 4.582
_cell_angle_alpha 90.00
_cell_angle_beta 90.00
_cell_angle_gamma 90.00
loop_
_atom_site_label
_atom_site_type_symbol
_atom_site_fract_x
_atom_site_fract_y
_atom_site_fract_z
Li1 Li 0.000 0.000 0.000
Hf1 Hf 0.500 0.500 0.500
Si1 Si 0.000 0.500 0.000
Se1 Se 0.000 0.000 0.500
```

Computed properties:
- E_form (uncorrected) (kJ/mol of atoms) = 46.6